A) A geometry-optimized BePH3 structure, computed with PBE-GGA.

a b c (Å): 3.4250 3.4250 3.4250
angles (deg): 90.00 90.00 90.00
With the nearest neighbours (Å) after each atom.
Atoms (fractional coordinates):
Be 0.0000 0.0000 0.0000  12 H 2.42
P 0.5000 0.5000 0.5000  6 H 1.71
H 0.0000 0.5000 0.5000  2 P 1.71
H 0.5000 0.0000 0.5000  2 P 1.71
H 0.5000 0.5000 0.0000  2 P 1.71

Summary:
As for the calculated volume: 8.04 Å³ per atom. The size of the total moment is 0.00 μB/atom. Its density of states at the Fermi level is 1.1 states/eV per cell.


B) A geometry-optimized BePH3 structure, computed with PBE-GGA.

a b c (Å): 3.2408 3.2408 3.2408
angles (deg): 90.00 90.00 90.00
With the nearest neighbours (Å) after each atom.
Atoms (fractional coordinates):
Be 0.0000 0.0000 0.0000  6 H 1.62
P 0.5000 0.5000 0.5000  12 H 2.29
H 0.0000 0.0000 0.5000  2 Be 1.62
H 0.0000 0.5000 0.0000  2 Be 1.62
H 0.5000 0.0000 0.0000  2 Be 1.62

Summary:
As for the calculated volume: 6.81 Å³ per atom. The size of the total moment is 0.00 μB/atom. Its density of states at the Fermi level is 1.5 states/eV per cell.


Of them, B) has the highest stability.


A) A geometry-optimized BeP2HS structure, computed with PBE-GGA.

a b c (Å): 3.3438 3.3438 8.1017
angles (deg): 90.00 90.00 90.00
With the nearest neighbours (Å) after each atom.
Atoms (fractional coordinates):
Be 0.0000 0.0000 0.0000  4 S 2.36
P 0.0000 0.5000 0.5000  2 H 1.67
P 0.5000 0.0000 0.5000  2 H 1.67
H 0.5000 0.5000 0.5000  4 P 1.67
S 0.5000 0.5000 0.0000  4 Be 2.36

Summary:
As for the calculated volume: 18.12 Å³ per atom. The size of the total moment is 0.00 μB/atom. Its density of states at the Fermi level is 3.0 states/eV per cell.


B) A geometry-optimized BeP2HS structure, computed with PBE-GGA.

a b c (Å): 4.2181 4.2181 4.2802
angles (deg): 90.00 90.00 90.00
With the nearest neighbours (Å) after each atom.
Atoms (fractional coordinates):
Be 0.0000 0.0000 0.0000  4 P 2.11, 2 S 2.14
P 0.0000 0.5000 0.0000  2 Be 2.11
P 0.5000 0.0000 0.0000  2 Be 2.11
H 0.5000 0.5000 0.5000  4 S 2.98, 8 P 3.00
S 0.0000 0.0000 0.5000  2 Be 2.14

Summary:
As for the calculated volume: 15.23 Å³ per atom. The size of the total moment is 0.12 μB/atom. Its density of states at the Fermi level is 1.9 states/eV per cell.


Of them, A) has the highest stability.